AsP2IrS at its PBEsol-relaxed geometry, computed with SCAN.

Calculated values
E: -22.76 eV/atom
E_form (uncorrected): 1.579 eV/atom

Cell: 4.3919 4.5002 4.5002 Å, 90.00 90.00 90.00°
Each line ends with the local moment (μB).
Positions (direct):
P1 0.0000 0.0000 0.5000  0.00
P2 0.0000 0.5000 0.0000  0.00
As1 0.0000 0.0000 0.0000  0.01
Ir1 0.5000 0.5000 0.5000  0.49
S1 0.5000 0.0000 0.0000  0.12